No. 1
# VGaGe2Os GGA-PBE optimized geometry
data_VGaGe2Os
_space_group_name_H-M_alt 'P 4/m m m'
_space_group_IT_number 123
_space_group_name_Hall '-P 4 2'
_cell_length_a 4.586
_cell_length_b 4.586
_cell_length_c 4.519
_cell_angle_alpha 90.00
_cell_angle_beta 90.00
_cell_angle_gamma 90.00
loop_
_atom_site_label
_atom_site_fract_x
_atom_site_fract_y
_atom_site_fract_z
_atom_site_occupancy
V1 0.000 0.000 0.000 1
Ga1 0.000 0.000 0.500 1
Ge1 0.000 0.500 0.500 1
Os1 0.500 0.500 0.000 1
# spin magnetization	0.00	Bohr magnetons per cell
# E_form	1.621	eV per atom
# crystal system	tetragonal

---

No. 2
# GaGeOs2W GGA-PBE optimized geometry
data_GaGeOs2W
_space_group_name_H-M_alt 'P 4/m m m'
_space_group_IT_number 123
_space_group_name_Hall '-P 4 2'
_cell_length_a 4.761
_cell_length_b 4.761
_cell_length_c 4.870
_cell_angle_alpha 90.00
_cell_angle_beta 90.00
_cell_angle_gamma 90.00
loop_
_atom_site_label
_atom_site_fract_x
_atom_site_fract_y
_atom_site_fract_z
_atom_site_occupancy
Ga1 0.000 0.000 0.000 1
Ge1 0.500 0.500 0.000 1
Os1 0.000 0.500 0.500 1
W1 0.000 0.000 0.500 1
# spin magnetization	0.01	Bohr magnetons per cell
# E_form	1.708	eV per atom
# crystal system	tetragonal

---

No. 3
# GaGeP2 GGA-PBE optimized geometry
data_GaGeP2
_space_group_name_H-M_alt 'F m -3 m'
_space_group_IT_number 225
_space_group_name_Hall '-F 4 2 3'
_cell_length_a 6.462
_cell_length_b 6.462
_cell_length_c 6.462
_cell_angle_alpha 90.00
_cell_angle_beta 90.00
_cell_angle_gamma 90.00
loop_
_atom_site_label
_atom_site_fract_x
_atom_site_fract_y
_atom_site_fract_z
_atom_site_occupancy
Ga1 0.000 0.000 0.000 1
Ge1 0.000 0.000 0.500 1
P1 0.250 0.250 0.250 1
# spin magnetization	0.00	Bohr magnetons per cell
# E_form	0.427	eV per atom
# crystal system	cubic

---

No. 4
# GaGeP GGA-PBE optimized geometry
data_GaGeP
_space_group_name_H-M_alt 'P 1'
_space_group_IT_number 1
_cell_length_a 4.200
_cell_length_b 5.610
_cell_length_c 5.817
_cell_angle_alpha 105.07
_cell_angle_beta 109.71
_cell_angle_gamma 96.98
loop_
_space_group_symop_operation_xyz
'x,y,z'
loop_
_atom_site_label
_atom_site_fract_x
_atom_site_fract_y
_atom_site_fract_z
_atom_site_occupancy
Ga1 0.000 0.000 0.000 1
Ga2 0.422 0.409 0.743 1
Ge1 0.331 0.812 0.336 1
Ge2 0.770 0.235 0.487 1
P1 0.386 0.835 0.761 1
P2 0.432 0.403 0.162 1
# spin magnetization	0.00	Bohr magnetons per cell
# E_form	0.012	eV per atom
# crystal system	triclinic

---

No. 5
# GaGe2P GGA-PBE optimized geometry
data_GaGe2P
_space_group_name_H-M_alt 'F m -3 m'
_space_group_IT_number 225
_space_group_name_Hall '-F 4 2 3'
_cell_length_a 6.637
_cell_length_b 6.637
_cell_length_c 6.637
_cell_angle_alpha 90.00
_cell_angle_beta 90.00
_cell_angle_gamma 90.00
loop_
_atom_site_label
_atom_site_fract_x
_atom_site_fract_y
_atom_site_fract_z
_atom_site_occupancy
Ga1 0.000 0.000 0.000 1
Ge1 0.250 0.250 0.250 1
P1 0.000 0.000 0.500 1
# spin magnetization	0.00	Bohr magnetons per cell
# E_form	0.376	eV per atom
# crystal system	cubic

---

No. 6
# GaGeP GGA-PBE optimized geometry
data_GaGeP
_space_group_name_H-M_alt 'C m c 21'
_space_group_IT_number 36
_cell_length_a 3.549
_cell_length_b 15.336
_cell_length_c 4.925
_cell_angle_alpha 90.00
_cell_angle_beta 90.00
_cell_angle_gamma 90.00
loop_
_space_group_symop_operation_xyz
'x,y,z'
'-x,-y,z+1/2'
'-x,y,z'
'x,-y,z+1/2'
'x+1/2,y+1/2,z'
'-x+1/2,-y+1/2,z+1/2'
'-x+1/2,y+1/2,z'
'x+1/2,-y+1/2,z+1/2'
loop_
_atom_site_label
_atom_site_fract_x
_atom_site_fract_y
_atom_site_fract_z
_atom_site_occupancy
Ga1 0.000 0.171 0.000 1
Ge1 0.000 0.336 0.915 1
P1 0.000 0.081 0.607 1
# spin magnetization	0.00	Bohr magnetons per cell
# E_form	0.127	eV per atom
# crystal system	orthorhombic